DFT (PBE) results for a relaxed CdFe4Pt crystal.

Calculated values
* crystal system: cubic
* formation enthalpy at 0 K: 0.063 eV/atom

POSCAR file:
```
CdFe4Pt
1.0
0.0000 3.4621 3.4621
3.4621 0.0000 3.4621
3.4621 3.4621 0.0000
Cd Fe Pt
1 4 1
direct
0.0000 0.0000 0.0000
0.1242 0.6253 0.6253
0.6253 0.1242 0.6253
0.6253 0.6253 0.1242
0.6253 0.6253 0.6253
0.2500 0.2500 0.2500
```


DFT (PBE) results for a relaxed Pm2ZnCu4Si3 crystal.

Calculated values
* energy relative to the elements, uncorrected: -508.6 meV per atom
* crystal system: tetragonal

POSCAR file:
```
Pm2ZnCu4Si3
1.0
4.0909 0.0000 0.0000
0.0000 4.0909 0.0000
0.0000 0.0000 9.9709
Pm Zn Cu Si
2 1 4 3
direct
0.0000 0.5000 0.2435
0.5000 0.0000 0.7565
0.0000 0.0000 0.5000
0.0000 0.0000 0.0000
0.0000 0.5000 0.6341
0.5000 0.0000 0.3659
0.5000 0.5000 0.0000
0.0000 0.5000 0.8694
0.5000 0.0000 0.1306
0.5000 0.5000 0.5000
```


DFT (PBE) results for a relaxed Ho2Si3Os2 crystal.

Calculated values
* energy relative to the elements, uncorrected: -668.0 meV per atom
* crystal system: monoclinic

POSCAR file:
```
Ho2Si3Os2
1.0
10.7553 0.0000 0.0000
0.0000 4.2975 0.0000
-4.2295 0.0000 5.7128
Ho Si Os
4 6 4
direct
0.0643 0.0000 0.3063
0.4357 0.5000 0.6937
0.5643 0.5000 0.3063
0.9357 0.0000 0.6937
0.0000 0.5000 0.5000
0.1487 0.5000 0.0963
0.3513 0.0000 0.9037
0.5000 0.0000 0.5000
0.6487 0.0000 0.0963
0.8513 0.5000 0.9037
0.2304 0.5000 0.8422
0.2696 0.0000 0.1578
0.7304 0.0000 0.8422
0.7696 0.5000 0.1578
```


DFT (PBE) results for a relaxed LuHg2Sb crystal.

Calculated values
* energy relative to the elements, uncorrected: 151.9 meV per atom
* crystal system: trigonal

POSCAR file:
```
LuHg2Sb
1.0
3.3906 0.0000 0.0000
-1.6953 2.9364 0.0000
0.0000 0.0000 34.1670
Lu Hg Sb
3 6 3
direct
0.0000 0.0000 0.0000
0.3333 0.6667 0.6667
0.6667 0.3333 0.3333
0.0000 0.0000 0.0869
0.0000 0.0000 0.9131
0.3333 0.6667 0.5798
0.3333 0.6667 0.7535
0.6667 0.3333 0.2465
0.6667 0.3333 0.4202
0.0000 0.0000 0.5000
0.3333 0.6667 0.1667
0.6667 0.3333 0.8333
```


DFT (PBE) results for a relaxed RePRuPt2 crystal.

Calculated values
* crystal system: tetragonal
* formation enthalpy at 0 K: 1.378 eV/atom

POSCAR file:
```
RePRuPt2
1.0
4.8878 0.0000 0.0000
0.0000 4.8878 0.0000
0.0000 0.0000 4.4083
Re P Ru Pt
1 1 1 2
direct
0.0000 0.0000 0.0000
0.0000 0.0000 0.5000
0.5000 0.5000 0.5000
0.0000 0.5000 0.0000
0.5000 0.0000 0.0000
```


DFT (PBE) results for a relaxed Ca2TlW crystal.

Calculated values
* crystal system: tetragonal
* formation enthalpy at 0 K: 0.647 eV/atom

POSCAR file:
```
Ca2TlW
1.0
3.6790 0.0000 0.0000
0.0000 3.6790 0.0000
0.0000 0.0000 8.2031
Ca Tl W
2 1 1
direct
0.0000 0.0000 0.0000
0.5000 0.5000 0.3750
0.0000 0.0000 0.6158
0.5000 0.5000 0.7640
```


DFT (PBE) results for a relaxed Rb2Ce3TlS8 crystal.

Calculated values
* energy relative to the elements, uncorrected: -1436.3 meV per atom
* crystal system: trigonal

POSCAR file:
```
Rb2Ce3TlS8
1.0
4.1589 2.4012 8.1119
-4.1589 2.4012 8.1119
0.0000 -4.8023 8.1119
Rb Ce Tl S
2 3 1 8
direct
0.0000 0.0000 0.0000
0.3521 0.3521 0.3521
0.4974 0.9946 0.9946
0.9946 0.4974 0.9946
0.9946 0.9946 0.4974
0.5159 0.5159 0.5159
0.1884 0.7428 0.7428
0.2187 0.2187 0.2187
0.2636 0.2636 0.7904
0.2636 0.7904 0.2636
0.7428 0.1884 0.7428
0.7428 0.7428 0.1884
0.7720 0.7720 0.7720
0.7904 0.2636 0.2636
```


DFT (PBE) results for a relaxed Th2AlRe3 crystal.

Calculated values
* crystal system: monoclinic
* formation enthalpy at 0 K: -0.226 eV/atom

POSCAR file:
```
Th2AlRe3
1.0
9.5272 0.0000 0.0000
0.0000 5.4810 0.0000
-3.1919 0.0000 4.5695
Th Al Re
4 2 6
direct
0.1212 0.0000 0.3637
0.3788 0.5000 0.6363
0.6212 0.5000 0.3637
0.8788 0.0000 0.6363
0.0000 0.5000 0.5000
0.5000 0.0000 0.5000
0.0000 0.5000 0.0000
0.2500 0.2500 0.0000
0.2500 0.7500 0.0000
0.5000 0.0000 0.0000
0.7500 0.2500 0.0000
0.7500 0.7500 0.0000
```


Ρ (kg/m3)
10622 6905 9994 10220 11170 7005 3595 14610